DFT (PBE) results for a relaxed structure of K2BaBr.

Lattice parameters (Å, degrees): 8.6376 8.6376 6.1365 69.23 69.23 27.74
Fractional positions:
1 Ba 0.7500 0.7500 0.7500
2 Br 0.2500 0.2500 0.2500
3 K 0.9388 0.9388 0.0610
4 K 0.5612 0.5612 0.4390

Output
The calculation puts the relative energy among the computed polymorphs at 0.128 eV per atom. The value obtained for the density of states at the Fermi level is 3.3 states/eV/f.u. The value obtained for the uncorrected formation energy is -637 meV per atom. The calculation puts the total energy at -2.09 eV per atom.